[1]
Compound: TlMo2Au
Source: the Alexandria database
Functional: PBE-GGA
Structure: optimized geometry

Computed properties:
- Formation energy from the elements: 0.3949 eV/atom
- Relative energy among the computed polymorphs: 6 meV per atom
- Uncorrected energy: -6.432 eV per atom

Geometry as POSCAR:
```
TlMo2Au
1.0
2.9440 -0.0196 0.0000
-1.1289 2.7190 0.0000
0.0000 0.0000 9.5867
Au Mo Tl
1 2 1
Cartesian
0.9076 1.3497 7.4112 Au
0.0000 0.0000 0.1610 Mo
0.9076 1.3497 2.0889 Mo
0.0000 0.0000 4.7190 Tl
```

[2]
Compound: TlMoAu2
Source: the Alexandria database
Functional: PBE-GGA
Structure: optimized geometry

Computed properties:
- Formation energy from the elements: 0.5503 eV/atom
- Relative energy among the computed polymorphs: 255 meV per atom
- Uncorrected energy: -4.388 eV per atom

Geometry as POSCAR:
```
TlMoAu2
1.0
0.0000 3.3824 3.3824
3.3824 0.0000 3.3824
3.3824 3.3824 0.0000
Tl Au Mo
1 2 1
Cartesian
3.3824 3.3824 3.3824 Tl
1.6912 1.6912 1.6912 Au
5.0736 5.0736 5.0736 Au
0.0000 0.0000 0.0000 Mo
```

[3]
Compound: TlMo2Au
Source: the Alexandria database
Functional: PBE-GGA
Structure: optimized geometry

Computed properties:
- Formation energy from the elements: 0.6688 eV/atom
- Relative energy among the computed polymorphs: 280 meV per atom
- Uncorrected energy: -6.158 eV per atom

Geometry as POSCAR:
```
TlMo2Au
1.0
-4.7282 -8.0696 -2.4684
-3.6937 -8.9384 0.1679
-6.2230 -7.4055 0.0013
Au Mo Tl
1 2 1
Cartesian
-10.9837 -18.3101 -1.7244 Au
-0.0467 -0.0779 -0.0073 Mo
-7.2758 -12.1289 -1.1423 Mo
-3.6612 -6.1034 -0.5748 Tl
```

[4]
Compound: TlMoAu2
Source: the Alexandria database
Functional: PBE-GGA
Structure: optimized geometry

Computed properties:
- Formation energy from the elements: 0.5257 eV/atom
- Relative energy among the computed polymorphs: 230 meV per atom
- Uncorrected energy: -4.412 eV per atom

Geometry as POSCAR:
```
TlMoAu2
1.0
-0.8679 2.8830 -4.2225
-4.6348 2.2892 0.4154
4.0359 -0.2295 3.2486
Au Mo Tl
2 1 1
Cartesian
0.0000 0.0000 0.0000 Au
-2.7513 2.5861 -1.9035 Au
-1.6751 2.3229 0.8802 Mo
0.2083 2.6198 -1.4387 Tl
```

[5]
Compound: TlMoAu4
Source: the Alexandria database
Functional: PBE-GGA
Structure: optimized geometry

Computed properties:
- Formation energy from the elements: 0.4752 eV/atom
- Uncorrected energy: -3.909 eV per atom

Geometry as POSCAR:
```
TlMoAu4
1.0
-1.8044 -5.0259 1.6113
-4.3929 -0.4245 3.4110
-4.8479 -1.9729 -1.9283
Tl Mo Au
1 1 4
Cartesian
0.0000 0.0000 0.0000 Tl
-8.2839 -5.5674 2.3205 Mo
-5.0451 -5.2937 1.9651 Au
-6.5639 -3.7700 0.1987 Au
-6.3368 -2.9973 2.8633 Au
-4.1446 -2.7855 1.1610 Au
```

[6]
Compound: TlMoAu2
Source: the Alexandria database
Functional: PBE-GGA
Structure: optimized geometry

Computed properties:
- Formation energy from the elements: 0.6904 eV/atom
- Relative energy among the computed polymorphs: 395 meV per atom
- Uncorrected energy: -4.248 eV per atom

Geometry as POSCAR:
```
TlMoAu2
1.0
-0.2780 2.9744 2.6472
-2.4864 -2.2023 2.2135
6.6692 -3.4839 7.6241
Tl Au Mo
2 4 2
Cartesian
0.0000 0.0000 0.0000 Tl
2.5045 -0.0617 6.3508 Tl
1.1850 0.6883 3.8154 Au
0.0763 -1.8511 3.6421 Au
3.9448 -2.3415 7.5590 Au
2.6035 -1.9192 9.9529 Au
-1.3822 0.3860 2.4303 Mo
1.4003 -2.6501 6.1339 Mo
```

[7]
Compound: TlMo2Au
Source: the Alexandria database
Functional: PBE-GGA
Structure: optimized geometry

Computed properties:
- Formation energy from the elements: 0.5866 eV/atom
- Relative energy among the computed polymorphs: 198 meV per atom
- Uncorrected energy: -6.240 eV per atom

Geometry as POSCAR:
```
TlMo2Au
1.0
5.2603 -0.0141 0.0000
-2.3098 4.7261 0.0000
0.0000 0.0000 2.8746
Au Mo Tl
1 2 1
Cartesian
-1.1549 2.3630 1.4373 Au
0.0000 0.0000 0.0000 Mo
1.4753 2.3560 0.0000 Mo
2.6301 -0.0070 1.4373 Tl
```

[8]
Compound: TlMo2Au
Source: the Alexandria database
Functional: PBE-GGA
Structure: optimized geometry

Computed properties:
- Formation energy from the elements: 0.5521 eV/atom
- Relative energy among the computed polymorphs: 163 meV per atom
- Uncorrected energy: -6.274 eV per atom

Geometry as POSCAR:
```
TlMo2Au
1.0
5.0817 0.0154 0.0000
1.7163 4.7832 0.0000
-3.3990 -2.3993 2.9179
Au Mo Tl
1 2 1
Cartesian
2.5409 0.0077 1.4590 Au
0.0000 0.0000 0.0000 Mo
0.8581 2.3916 1.4590 Mo
3.3990 2.3993 0.0000 Tl
```

[9]
Compound: TlMo2Au
Source: the Alexandria database
Functional: PBE-GGA
Structure: optimized geometry

Computed properties:
- Formation energy from the elements: 0.5421 eV/atom
- Relative energy among the computed polymorphs: 153 meV per atom
- Uncorrected energy: -6.284 eV per atom

Geometry as POSCAR:
```
TlMo2Au
1.0
5.0480 -0.0102 0.0055
4.2477 2.7276 0.0055
0.4974 0.1454 5.2164
Au Mo Tl
1 2 1
Cartesian
7.3065 2.1359 3.9182 Au
0.0660 0.0193 0.1043 Mo
2.4271 0.7095 1.1555 Mo
4.8900 1.4295 2.6630 Tl
```

[10]
Compound: TlMoAu2
Source: the Alexandria database
Functional: PBE-GGA
Structure: optimized geometry

Computed properties:
- Formation energy from the elements: 0.4448 eV/atom
- Relative energy among the computed polymorphs: 149 meV per atom
- Uncorrected energy: -4.493 eV per atom

Geometry as POSCAR:
```
TlMoAu2
1.0
-4.7165 0.6180 1.1590
-3.4725 -1.1399 3.2576
0.5076 4.3595 3.3509
Au Mo Tl
2 1 1
Cartesian
0.4832 4.2837 3.3019 Au
-5.7999 2.8105 5.7921 Au
-3.8020 2.0438 3.9656 Mo
-1.8958 0.9777 1.9427 Tl
```

[11]
Compound: TlMo2Au
Source: the Alexandria database
Functional: PBE-GGA
Structure: optimized geometry

Computed properties:
- Formation energy from the elements: 0.4533 eV/atom
- Relative energy among the computed polymorphs: 65 meV per atom
- Uncorrected energy: -6.373 eV per atom

Geometry as POSCAR:
```
TlMo2Au
1.0
-0.1021 -1.7905 5.1356
0.0442 -5.4134 0.5336
2.7580 4.2467 -1.9875
Au Mo Tl
1 2 1
Cartesian
1.3870 -2.3354 0.6518 Au
-0.0564 -7.0269 5.5299 Mo
1.3120 -0.7606 3.1391 Mo
-0.0292 -3.6401 2.8646 Tl
```

[12]
Compound: Tl4MoAu
Source: the Alexandria database
Functional: PBE-GGA
Structure: optimized geometry

Computed properties:
- Formation energy from the elements: 0.9010 eV/atom
- Uncorrected energy: -3.028 eV per atom

Geometry as POSCAR:
```
Tl4MoAu
1.0
4.3110 1.5797 4.1942
-0.2144 -2.3980 5.7337
4.2636 -4.1565 1.7933
Tl Mo Au
4 1 1
Cartesian
5.2901 -1.0763 6.4923 Tl
5.2664 -3.9432 5.2924 Tl
3.0284 -3.0643 7.2617 Tl
3.1355 -1.8658 4.3961 Tl
0.0000 0.0000 0.0000 Mo
6.2702 -3.7311 8.7909 Au
```

[13]
Compound: TlMoAu2
Source: the Alexandria database
Functional: PBE-GGA
Structure: optimized geometry

Computed properties:
- Formation energy from the elements: 0.4764 eV/atom
- Relative energy among the computed polymorphs: 181 meV per atom
- Uncorrected energy: -4.462 eV per atom

Geometry as POSCAR:
```
TlMoAu2
1.0
-0.6015 -5.2423 2.4691
4.4651 -2.1299 3.0767
-4.1524 4.0075 -0.7986
Au Mo Tl
2 1 1
Cartesian
0.0162 -0.0310 0.0233 Au
1.1475 -0.9523 2.5616 Au
1.9052 -3.6352 2.7346 Mo
-1.4258 -2.4323 2.2004 Tl
```

[14]
Compound: TlMoAu2
Source: the Alexandria database
Functional: PBE-GGA
Structure: optimized geometry

Computed properties:
- Formation energy from the elements: 0.4292 eV/atom
- Relative energy among the computed polymorphs: 134 meV per atom
- Uncorrected energy: -4.509 eV per atom

Geometry as POSCAR:
```
TlMoAu2
1.0
9.7266 -0.0346 -0.0203
9.2634 2.9659 -0.0203
9.2634 1.4299 2.5985
Au Mo Tl
2 1 1
Cartesian
0.1220 0.0188 0.0110 Au
21.2726 3.2836 1.9259 Au
13.9901 2.1595 1.2666 Mo
6.9953 1.0798 0.6333 Tl
```

[15]
Compound: TlMo2Au
Source: the Alexandria database
Functional: PBE-GGA
Structure: optimized geometry

Computed properties:
- Formation energy from the elements: 0.4562 eV/atom
- Relative energy among the computed polymorphs: 67 meV per atom
- Uncorrected energy: -6.370 eV per atom

Geometry as POSCAR:
```
TlMo2Au
1.0
4.1352 0.0000 0.0000
0.0000 2.9608 0.2560
0.0000 2.2160 6.2425
Au Mo Tl
1 2 1
Cartesian
2.0676 3.9735 4.9603 Au
0.0000 0.2221 0.1419 Mo
2.0676 1.0433 1.3946 Mo
0.0000 2.5262 3.2511 Tl
```

[16]
Compound: TlMo2Au
Source: the Alexandria database
Functional: PBE-GGA
Structure: optimized geometry

Computed properties:
- Formation energy from the elements: 0.3887 eV/atom
- Relative energy among the computed polymorphs: 0 meV per atom
- Uncorrected energy: -6.438 eV per atom

Geometry as POSCAR:
```
TlMo2Au
1.0
3.3190 0.0000 0.0000
0.0000 3.3190 0.0000
0.0000 0.0000 6.7950
Au Mo Tl
1 2 1
Cartesian
1.6595 1.6595 5.2448 Au
0.0000 0.0000 0.1990 Mo
1.6595 1.6595 1.3812 Mo
0.0000 0.0000 3.3675 Tl
```

[17]
Compound: TlMoAu2
Source: the Alexandria database
Functional: PBE-GGA
Structure: optimized geometry

Computed properties:
- Formation energy from the elements: 0.4172 eV/atom
- Relative energy among the computed polymorphs: 122 meV per atom
- Uncorrected energy: -4.521 eV per atom

Geometry as POSCAR:
```
TlMoAu2
1.0
5.3546 0.0156 -0.0475
-2.1838 4.8891 -0.0475
0.0249 0.0386 2.8829
Au Mo Tl
2 1 1
Cartesian
0.0000 0.0000 0.0000 Au
1.5854 2.4523 -0.0475 Au
2.6898 0.0271 1.4177 Mo
-1.0794 2.4638 1.4177 Tl
```

[18]
Compound: TlMo2Au
Source: the Alexandria database
Functional: PBE-GGA
Structure: optimized geometry

Computed properties:
- Formation energy from the elements: 0.6268 eV/atom
- Relative energy among the computed polymorphs: 238 meV per atom
- Uncorrected energy: -6.200 eV per atom

Geometry as POSCAR:
```
TlMo2Au
1.0
-2.6749 -0.2603 -0.9971
-0.4093 -2.2767 1.6930
-2.8749 5.2357 6.3460
Au Mo Tl
1 2 1
Cartesian
-3.6983 2.6583 5.1074 Au
-2.8364 5.1656 6.2609 Mo
-1.4760 2.6880 3.2580 Mo
-2.2608 0.0404 1.9344 Tl
```

[19]
Compound: TlMo2Au
Source: the Alexandria database
Functional: PBE-GGA
Structure: optimized geometry

Computed properties:
- Formation energy from the elements: 0.5116 eV/atom
- Relative energy among the computed polymorphs: 123 meV per atom
- Uncorrected energy: -6.315 eV per atom

Geometry as POSCAR:
```
TlMo2Au
1.0
-2.9589 -0.3212 -4.1469
-1.5335 -3.1778 -3.6885
-4.2906 -1.8461 1.8371
Au Mo Tl
1 2 1
Cartesian
-6.5872 -4.0089 -4.4987 Au
-4.0475 -1.7484 1.6900 Mo
-4.6346 -2.7703 -2.8520 Mo
-2.1957 -1.3363 -1.4996 Tl
```

[20]
Compound: TlMoAu2
Source: the Alexandria database
Functional: PBE-GGA
Structure: optimized geometry

Computed properties:
- Formation energy from the elements: 0.4188 eV/atom
- Relative energy among the computed polymorphs: 123 meV per atom
- Uncorrected energy: -4.519 eV per atom

Geometry as POSCAR:
```
TlMoAu2
1.0
9.9981 -0.0454 -0.0266
9.5532 2.9497 -0.0266
9.5532 1.4191 2.5860
Au Mo Tl
2 1 1
Cartesian
0.2311 0.0343 0.0201 Au
14.3211 2.1274 1.2463 Au
21.8284 3.2426 1.8997 Mo
7.2761 1.0809 0.6332 Tl
```

Fermi-level density of states
In order: 3.58; 2.35; 4.53; 2.93; 3.87; 3.04; 2.54; 3.25; 2.24; 3.25; 1.59; 2.64; 2.64; 3.02; 2.24; 2.98; 2.95; 2.96; 2.61; 4.34
Unit: states/eV/f.u.